1.
Material: NaScCdSe3
Method: DFT, PBE
State: relaxed

Cell lengths 8.0511, 4.0687, 10.5203 Å; angles 90.00, 108.53, 90.00 degrees
With the nearest neighbours (Å) after each atom.
Fractional positions:
Se 0.9097 0.7500 0.1357  1 Cd 2.61, 2 Sc 2.80
Se 0.4442 0.7500 0.1331  3 Sc 2.70-2.72, 2 Na 2.98
Se 0.2652 0.7500 0.5732  3 Cd 2.67-2.79, 1 Sc 2.92
Se 0.7348 0.2500 0.4268  3 Cd 2.67-2.79, 1 Sc 2.92
Se 0.5558 0.2500 0.8669  3 Sc 2.70-2.72, 2 Na 2.98
Se 0.0903 0.2500 0.8643  1 Cd 2.61, 2 Sc 2.80
Cd 0.0720 0.2500 0.6118  4 Se 2.61-2.79
Cd 0.9280 0.7500 0.3882  4 Se 2.61-2.79
Na 0.1956 0.2500 0.1734  5 Se 2.98-3.09
Na 0.8044 0.7500 0.8266  5 Se 2.98-3.09
Sc 0.3290 0.7500 0.8625  6 Se 2.70-2.92
Sc 0.6710 0.2500 0.1375  6 Se 2.70-2.92

## Properties
The calculation puts the total energy at -4.3293 eV per atom. As for the space-group type: P2_1/m, No. 11. Its excess energy over the best structure of this formula in the dataset is 0 meV per atom.

2.
Material: NaScCdSe3
Method: DFT, PBE
State: relaxed

Cell lengths 12.0831, 3.9926, 12.5844 Å; angles 90.00, 90.00, 90.00 degrees
With the nearest neighbours (Å) after each atom.
Fractional positions:
Se 0.1357 0.5000 0.2390  1 Sc 2.65, 2 Cd 2.68, 2 Na 2.94
Se 0.6696 0.5000 0.5597  1 Cd 2.69, 2 Sc 2.84, 2 Na 3.00
Se 0.8304 0.5000 0.0597  1 Cd 2.69, 2 Sc 2.84, 2 Na 3.00
Se 0.1696 0.0000 0.9403  1 Cd 2.69, 2 Sc 2.84, 2 Na 3.00
Se 0.4211 0.0000 0.0717  1 Cd 2.61, 2 Sc 2.73
Se 0.6357 0.0000 0.2610  1 Sc 2.65, 2 Cd 2.68, 2 Na 2.94
Se 0.5789 0.5000 0.9283  1 Cd 2.61, 2 Sc 2.73
Se 0.3304 0.0000 0.4403  1 Cd 2.69, 2 Sc 2.84, 2 Na 3.00
Se 0.9211 0.5000 0.4283  1 Cd 2.61, 2 Sc 2.73
Se 0.3643 0.5000 0.7390  1 Sc 2.65, 2 Cd 2.68, 2 Na 2.94
Se 0.8643 0.0000 0.7610  1 Sc 2.65, 2 Cd 2.68, 2 Na 2.94
Se 0.0789 0.0000 0.5717  1 Cd 2.61, 2 Sc 2.73
Na 0.5027 0.5000 0.3753  5 Se 2.94-3.07
Na 0.4973 0.0000 0.6247  5 Se 2.94-3.07
Na 0.0027 0.0000 0.1247  5 Se 2.94-3.07
Na 0.9973 0.5000 0.8753  5 Se 2.94-3.07
Sc 0.8363 0.0000 0.5523  6 Se 2.65-2.94
Sc 0.1637 0.5000 0.4477  6 Se 2.65-2.94
Sc 0.6637 0.0000 0.0523  6 Se 2.65-2.94
Sc 0.3363 0.5000 0.9477  6 Se 2.65-2.94
Cd 0.7836 0.5000 0.2688  4 Se 2.61-2.69
Cd 0.2164 0.0000 0.7312  4 Se 2.61-2.69
Cd 0.7164 0.5000 0.7688  4 Se 2.61-2.69
Cd 0.2836 0.0000 0.2312  4 Se 2.61-2.69

## Properties
The calculation puts the total energy at -4.2877 eV per atom. As for the space-group type: Pnma, No. 62. Its excess energy over the best structure of this formula in the dataset is 42 meV per atom.

3.
Material: NaScCdSe3
Method: DFT, PBE
State: relaxed

Cell lengths 7.1816, 7.1816, 10.7414 Å; angles 90.00, 90.00, 32.29 degrees
With the nearest neighbours (Å) after each atom.
Fractional positions:
Se 0.0867 0.0867 0.2500  2 Cd 2.63, 2 Sc 2.94
Se 0.6341 0.6341 0.5441  1 Cd 2.58, 2 Sc 2.76
Se 0.6341 0.6341 0.9559  1 Cd 2.58, 2 Sc 2.76
Se 0.3659 0.3659 0.0441  1 Cd 2.58, 2 Sc 2.76
Se 0.3659 0.3659 0.4559  1 Cd 2.58, 2 Sc 2.76
Se 0.9133 0.9133 0.7500  2 Cd 2.63, 2 Sc 2.94
Cd 0.4623 0.4623 0.2500  4 Se 2.58-2.63
Cd 0.5377 0.5377 0.7500  4 Se 2.58-2.63
Na 0.2467 0.2467 0.7500  6 Se 3.05-3.36
Na 0.7533 0.7533 0.2500  6 Se 3.05-3.36
Sc 0.0000 0.0000 0.0000  6 Se 2.76-2.94
Sc 0.0000 0.0000 0.5000  6 Se 2.76-2.94

## Properties
The calculation puts the total energy at -4.2930 eV per atom. As for the space-group type: Cmcm, No. 63. Its excess energy over the best structure of this formula in the dataset is 36 meV per atom.